The following is a PBE calculation of a relaxed structure of KPmIn6, from the Alexandria database.

**E_form**: -0.181 eV per atom
**E_tot**: -2.97 eV/atom

Cell lengths 5.019, 6.681, 6.769 Å; angles 90.00, 90.00, 90.00 degrees
Positions (direct):
In 0.500 0.859 0.254
In 0.000 0.714 0.500
Pm 0.500 0.384 0.500
K 0.000 0.618 0.000
In 0.500 0.266 0.000
In 0.000 0.150 0.268
In 0.000 0.150 0.732
In 0.500 0.859 0.746